DFT (PBE) results for YTaFe2 after structural relaxation.

extended XYZ file:
```
4
Lattice="-1.882 1.882 4.723 1.882 -1.882 4.723 1.882 1.882 -4.723" Properties=species:S:1:pos:R:3 pbc="T T T"
Y 0.000 0.000 0.000
Ta 0.000 1.882 2.362
Fe 1.882 0.000 2.362
Fe 0.000 0.000 4.723
```

Values from the calculation:
Total DFT energy (no corrections) (eV per cell): -33.6
Calculated formation energy (meV per atom): 411